No. 1
# KZr2Rh, optimized geometry, DFT PBE-GGA
data_KZr2Rh
_chemical_formula_sum 'K1 Zr2 Rh1'
_space_group_name_H-M_alt 'P m m m'
_space_group_IT_number 47
_cell_length_a 3.3386
_cell_length_b 5.0097
_cell_length_c 5.2279
_cell_angle_alpha 90.00
_cell_angle_beta 90.00
_cell_angle_gamma 90.00
loop_
_space_group_symop_operation_xyz
'x,y,z'
'-x,-y,-z'
'-x,-y,z'
'x,y,-z'
'x,-y,-z'
'-x,y,z'
'-x,y,-z'
'x,-y,z'
loop_
_atom_site_label
_atom_site_fract_x
_atom_site_fract_y
_atom_site_fract_z
K1 0.0000 0.0000 0.0000
Zr1 0.0000 0.5000 0.5000
Zr2 0.5000 0.5000 0.0000
Rh1 0.5000 0.0000 0.5000
# Calculated density, g cm⁻³: 6.16
# Calculated formation energy, kJ/mol of atoms: 64.4
# DFT total energy, eV for the cell shown: -22.88
# Distance to the lowest polymorph of the same formula, kJ per mole of atoms: 62.8
# Calculated volume, Å³ per cell: 87

***

No. 2
# Tb4NdDyEr2, optimized geometry, DFT PBE-GGA
data_Tb4NdDyEr2
_chemical_formula_sum 'Tb8 Nd2 Dy2 Er4'
_space_group_name_H-M_alt 'P -1'
_space_group_IT_number 2
_cell_length_a 7.1439
_cell_length_b 7.1459
_cell_length_c 11.5310
_cell_angle_alpha 89.98
_cell_angle_beta 89.99
_cell_angle_gamma 60.07
loop_
_space_group_symop_operation_xyz
'x,y,z'
'-x,-y,-z'
loop_
_atom_site_label
_atom_site_fract_x
_atom_site_fract_y
_atom_site_fract_z
Tb1 0.1670 0.1671 0.2497
Tb2 0.1667 0.6676 0.2491
Tb3 0.3335 0.3324 0.7499
Tb4 0.3331 0.8328 0.7505
Nd1 0.0000 0.0000 0.5000
Nd2 0.5000 0.0000 0.0000
Dy1 0.5000 0.0000 0.5000
Dy2 0.5000 0.5000 0.5000
Er1 0.0000 0.0000 0.0000
Er2 0.0000 0.5000 0.0000
Er3 0.0000 0.5000 0.5000
Er4 0.5000 0.5000 0.0000
# Calculated density, g cm⁻³: 8.31
# Calculated formation energy, kJ/mol of atoms: 0.6
# DFT total energy, eV for the cell shown: -73.94
# Calculated volume, Å³ per cell: 510

***

No. 3
# SiAgPt3, optimized geometry, DFT PBE-GGA
data_SiAgPt3
_chemical_formula_sum 'Si1 Ag1 Pt3'
_space_group_name_H-M_alt 'P m -3 m'
_space_group_IT_number 221
_space_group_name_Hall '-P 4 2 3'
_cell_length_a 4.8773
_cell_length_b 4.8773
_cell_length_c 4.8773
_cell_angle_alpha 90.00
_cell_angle_beta 90.00
_cell_angle_gamma 90.00
loop_
_atom_site_label
_atom_site_fract_x
_atom_site_fract_y
_atom_site_fract_z
Si1 0.0000 0.0000 0.0000
Ag1 0.5000 0.5000 0.5000
Pt1 0.0000 0.5000 0.5000
# Calculated density, g cm⁻³: 10.32
# Formation energy (no corrections), eV/atom: 1.617
# DFT total energy, eV for the cell shown: -18.31
# Distance to the lowest polymorph of the same formula, kJ per mole of atoms: 142.9
# Calculated volume, Å³ per cell: 116

***

No. 4
# K2ScNbO5, optimized geometry, DFT PBE-GGA
data_K2ScNbO5
_chemical_formula_sum 'K8 Sc4 Nb4 O20'
_space_group_name_H-M_alt 'C m c 21'
_space_group_IT_number 36
_cell_length_a 3.4230
_cell_length_b 12.8898
_cell_length_c 13.3299
_cell_angle_alpha 90.00
_cell_angle_beta 90.00
_cell_angle_gamma 90.00
loop_
_space_group_symop_operation_xyz
'x,y,z'
'-x,-y,z+1/2'
'-x,y,z'
'x,-y,z+1/2'
'x+1/2,y+1/2,z'
'-x+1/2,-y+1/2,z+1/2'
'-x+1/2,y+1/2,z'
'x+1/2,-y+1/2,z+1/2'
loop_
_atom_site_label
_atom_site_fract_x
_atom_site_fract_y
_atom_site_fract_z
K1 0.0000 0.0722 0.0000
K2 0.0000 0.1756 0.6171
Sc1 0.0000 0.2315 0.3637
Nb1 0.0000 0.4705 0.7726
O1 0.0000 0.0569 0.3446
O2 0.0000 0.2694 0.9554
O3 0.0000 0.3153 0.7575
O4 0.0000 0.3893 0.3297
O5 0.0000 0.4939 0.1391
# Calculated density, g cm⁻³: 3.34
# Formation energy (no corrections), eV/atom: -2.518
# DFT total energy, eV for the cell shown: -264.19
# Calculated volume, Å³ per cell: 588